Entry 1:
{"formula": "ScCuRe2", "functional": "PBE", "state": "optimized geometry", "cell": [[-2.6023, -3.0305, -3.2109], [4.3831, 1.9461, -1.8076], [1.3038, -2.0878, 0.9138]], "species": ["Cu", "Sc", "Re", "Re"], "frac_coords": [[0.0000, 0.5000, 0.5000], [0.5000, 0.0000, 0.5000], [0.5000, 0.5000, 0.0000], [0.0000, 0.0000, 0.0000]], "formation_energy_mev_per_atom": 290.3, "dft_energy_ev_per_atom": -8.54, "volume_a3_per_atom": 15.5, "sg": "Cmmm", "dos_at_fermi_per_ev_fu": 3.0}

---

Entry 2:
{"formula": "Mg6PdPt2", "functional": "PBE", "state": "optimized geometry", "cell": [[-0.0583, -4.5941, 0.2775], [3.5042, 2.3708, 1.8116], [-4.2177, 0.5063, 7.4948]], "species": ["Mg", "Mg", "Pt", "Pt", "Mg", "Mg", "Mg", "Mg", "Pd"], "frac_coords": [[0.6667, 0.3333, 0.5877], [0.3333, 0.6667, 0.0663], [0.3334, 0.6668, 0.7487], [0.6666, 0.3332, 0.2513], [0.6667, 0.3333, 0.9337], [0.3333, 0.6667, 0.4123], [0.0000, 0.0001, 0.7992], [0.0000, 0.9999, 0.2008], [0.0000, 0.0000, 0.5000]], "formation_energy_mev_per_atom": -615.2, "dft_energy_ev_per_atom": -3.60, "volume_a3_per_atom": 17.6, "sg": "P-3m1", "dos_at_fermi_per_ev_fu": 2.3}

---

Entry 3:
{"formula": "ZnSb2Ir", "functional": "PBE", "state": "optimized geometry", "cell": [[-3.1275, 1.8954, 3.1306], [-1.8270, 4.3852, -0.7789], [-4.6293, 0.4963, -1.2239]], "species": ["Sb", "Zn", "Ir", "Sb"], "frac_coords": [[0.7500, 0.7500, 0.7500], [0.0000, 0.0000, 0.0000], [0.5000, 0.5000, 0.5000], [0.2500, 0.2500, 0.2500]], "formation_energy_uncorrected_ev_per_atom": 0.1939, "dft_energy_ev_per_atom": -4.40, "volume_a3_per_atom": 19.7, "sg": "Fm-3m", "dos_at_fermi_per_ev_fu": 2.1}

---

Entry 4:
{"formula": "ErAgSn", "functional": "PBE", "state": "optimized geometry", "cell": [[7.3727, 0.0000, 0.0000], [-3.6864, 6.3850, 0.0000], [0.0000, 0.0000, 4.4790]], "species": ["Er", "Er", "Sn", "Sn", "Ag", "Ag", "Ag", "Er", "Sn"], "frac_coords": [[0.4295, 0.4295, 0.0000], [0.0000, 0.5705, 0.0000], [0.0000, 0.0000, 0.0000], [0.6667, 0.3333, 0.5000], [0.2467, 0.0000, 0.5000], [0.7533, 0.7533, 0.5000], [0.0000, 0.2467, 0.5000], [0.5705, 0.0000, 0.0000], [0.3333, 0.6667, 0.5000]], "formation_energy_mev_per_atom": -553.6, "dft_energy_ev_per_atom": -4.36, "volume_a3_per_atom": 23.4, "sg": "P-62m", "dos_at_fermi_per_ev_fu": 0.5}

---

Entry 5:
{"formula": "Nd2Er12Zr", "functional": "PBE", "state": "optimized geometry", "cell": [[-2.7553, -5.5691, 2.1093], [3.9914, -0.6425, -5.1683], [19.3536, -8.2431, 12.3615]], "species": ["Nd", "Er", "Er", "Er", "Er", "Nd", "Er", "Er", "Er", "Zr", "Er", "Er", "Er", "Er", "Er", "Er", "Er", "Er", "Er", "Zr", "Er", "Er", "Er", "Er", "Er", "Nd", "Er", "Er", "Er", "Nd"], "frac_coords": [[0.4570, 0.9570, 0.7277], [0.3282, 0.3370, 0.5558], [0.1718, 0.1630, 0.4442], [0.6082, 0.6082, 0.1886], [0.3260, 0.8260, 0.5704], [0.9541, 0.4541, 0.7229], [0.6535, 0.1535, 0.1288], [0.0067, 0.0019, 0.3282], [0.4577, 0.4484, 0.0626], [0.5262, 0.0262, 0.0000], [0.5516, 0.5423, 0.9374], [0.1082, 0.1082, 0.1886], [0.9981, 0.9933, 0.6718], [0.3918, 0.3918, 0.8114], [0.1740, 0.6740, 0.4296], [0.3433, 0.8433, 0.8769], [0.1567, 0.6567, 0.1231], [0.8136, 0.3136, 0.5750], [0.4933, 0.4981, 0.6718], [0.9738, 0.4738, 0.0000], [0.5019, 0.5067, 0.3282], [0.8370, 0.8282, 0.5558], [0.0423, 0.0516, 0.9374], [0.8465, 0.3465, 0.8712], [0.9484, 0.9577, 0.0626], [0.5459, 0.0459, 0.2771], [0.6864, 0.1864, 0.4250], [0.8918, 0.8918, 0.8114], [0.6630, 0.6718, 0.4442], [0.0430, 0.5430, 0.2723]], "formation_energy_mev_per_atom": 127.8, "dft_energy_ev_per_atom": -4.73, "volume_a3_per_atom": 30.9, "sg": "C2/m", "dos_at_fermi_per_ev_fu": 23.0}

---

Entry 6:
{"formula": "MoIr2Br", "functional": "PBE", "state": "optimized geometry", "cell": [[4.1112, 0.0000, 0.0000], [0.0000, 3.9528, 0.0000], [0.0000, 0.0000, 3.9528]], "species": ["Ir", "Mo", "Ir", "Br"], "frac_coords": [[0.0000, 0.0000, 0.0000], [0.5000, 0.5000, 0.0000], [0.0000, 0.5000, 0.5000], [0.5000, 0.0000, 0.5000]], "formation_energy_uncorrected_ev_per_atom": 1.1116, "dft_energy_ev_per_atom": -6.44, "volume_a3_per_atom": 16.1, "sg": "P4/mmm", "dos_at_fermi_per_ev_fu": 5.0}

---

Entry 7:
{"formula": "Rb2BeHS2", "functional": "PBE", "state": "optimized geometry", "cell": [[5.3759, 0.0000, 0.0000], [0.0000, 10.0699, 0.0000], [-2.6880, -5.0349, 6.1302]], "species": ["Rb", "S", "S", "Be", "S", "H", "Be", "H", "Rb", "Rb", "Rb", "S"], "frac_coords": [[0.6297, 0.9376, 0.2594], [0.0976, 0.7099, 0.1953], [0.9024, 0.2901, 0.8047], [0.7500, 0.5000, 0.0000], [0.5976, 0.4854, 0.1953], [0.2500, 0.0000, 0.0000], [0.2500, 0.5000, 0.0000], [0.7500, 0.0000, 0.0000], [0.1297, 0.3218, 0.2594], [0.3703, 0.0624, 0.7406], [0.8703, 0.6782, 0.7406], [0.4024, 0.5146, 0.8047]], "dft_energy_ev_per_atom": -3.48, "volume_a3_per_atom": 27.7, "sg": "Ibam", "dos_at_fermi_per_ev_fu": 2.6}

---

Entry 8:
{"formula": "Tb5Nd2Th5", "functional": "PBE", "state": "optimized geometry", "cell": [[4.9520, 0.0000, 1.0582], [2.1839, 7.4890, 1.8961], [0.2937, 0.6161, 10.7416]], "species": ["Th", "Tb", "Th", "Th", "Th", "Tb", "Th", "Nd", "Tb", "Tb", "Tb", "Nd"], "frac_coords": [[0.8296, 0.8392, 0.5016], [0.4144, 0.9230, 0.2483], [0.1704, 0.1608, 0.4984], [0.7521, 0.2426, 0.2532], [0.2479, 0.7574, 0.7468], [0.3326, 0.3298, 0.0049], [0.0000, 0.0000, 0.0000], [0.9162, 0.4188, 0.7489], [0.5856, 0.0770, 0.7517], [0.5000, 0.5000, 0.5000], [0.6674, 0.6702, 0.9951], [0.0838, 0.5812, 0.2511]], "formation_energy_mev_per_atom": 51.0, "dft_energy_ev_per_atom": -5.76, "volume_a3_per_atom": 32.6, "sg": "C2/m", "dos_at_fermi_per_ev_fu": 17.4}

---

Entry 9:
{"formula": "La2ZrTi2", "functional": "PBE", "state": "optimized geometry", "cell": [[8.7360, 0.0000, 0.0000], [0.0000, 8.7360, 0.0000], [0.0000, 0.0000, 3.3164]], "species": ["Ti", "Ti", "La", "La", "Ti", "La", "Zr", "La", "Zr", "Ti"], "frac_coords": [[0.1162, 0.3838, 0.0000], [0.8838, 0.6162, 0.0000], [0.6837, 0.8163, 0.5000], [0.1837, 0.6837, 0.5000], [0.6162, 0.1162, 0.0000], [0.3163, 0.1837, 0.5000], [0.0000, 0.0000, 0.0000], [0.8163, 0.3163, 0.5000], [0.5000, 0.5000, 0.0000], [0.3838, 0.8838, 0.0000]], "formation_energy_mev_per_atom": 420.0, "dft_energy_ev_per_atom": -6.42, "volume_a3_per_atom": 25.3, "sg": "P4/mbm", "dos_at_fermi_per_ev_fu": 3.6}

---

Entry 10:
{"formula": "TaTl2In", "functional": "PBE", "state": "optimized geometry", "cell": [[-3.7621, -1.0210, -0.3452], [0.2990, -2.1931, 3.2274], [-1.6139, 4.7947, 3.4076]], "species": ["Tl", "In", "Tl", "Ta"], "frac_coords": [[0.0000, 0.0000, 0.9867], [0.5000, 0.5000, 0.2500], [0.0000, 0.0000, 0.5133], [0.5000, 0.5000, 0.7500]], "formation_energy_mev_per_atom": 602.5, "dft_energy_ev_per_atom": -4.23, "volume_a3_per_atom": 23.4, "sg": "P4/mmm", "dos_at_fermi_per_ev_fu": 3.0}

---

Entry 11:
{"formula": "SiIO2F", "functional": "PBE", "state": "optimized geometry", "cell": [[-2.1385, 1.5046, 2.2487], [2.2229, -0.6571, 2.5536], [2.7549, 5.4164, -1.0042]], "species": ["Si", "I", "O", "O", "F"], "frac_coords": [[0.0000, 0.0000, 0.0000], [0.0000, 0.0000, 0.5000], [0.5000, 0.0000, 0.0000], [0.0000, 0.5000, 0.0000], [0.5000, 0.5000, 0.5000]], "formation_energy_uncorrected_ev_per_atom": -1.1005, "dft_energy_ev_per_atom": -4.85, "volume_a3_per_atom": 14.7, "sg": "P4/mmm", "dos_at_fermi_per_ev_fu": 2.9}

---

Entry 12:
{"formula": "Tl2PW2", "functional": "PBE", "state": "optimized geometry", "cell": [[6.3077, 0.0000, 0.0000], [0.0000, 6.3077, 0.0000], [0.0000, 0.0000, 4.9717]], "species": ["P", "Tl", "W", "W", "Tl", "W", "Tl", "Tl", "W", "P"], "frac_coords": [[0.0000, 0.0000, 0.0000], [0.6757, 0.8243, 0.5000], [0.8544, 0.6456, 0.0000], [0.6456, 0.1456, 0.0000], [0.3243, 0.1757, 0.5000], [0.1456, 0.3544, 0.0000], [0.1757, 0.6757, 0.5000], [0.8243, 0.3243, 0.5000], [0.3544, 0.8544, 0.0000], [0.5000, 0.5000, 0.0000]], "formation_energy_mev_per_atom": 603.9, "dft_energy_ev_per_atom": -6.61, "volume_a3_per_atom": 19.8, "sg": "P4/mbm", "dos_at_fermi_per_ev_fu": 3.9}

---

Q: Number 3 is which compound?
A: ZnSb2Ir